Material: Si2HgSb
Method: DFT, PBEsol
State: relaxed Values from VASP.

Results
For the relative energy among the computed polymorphs, the calculation gives 184.4 meV per atom. Its raw formation energy is 51 kJ per mole of atoms.

The structure in Quantum ESPRESSO input format:
```
&SYSTEM
  ibrav = 0, nat = 4, ntyp = 3
/
ATOMIC_SPECIES
Si 28.09 Si.upf
Hg 200.59 Hg.upf
Sb 121.76 Sb.upf
CELL_PARAMETERS angstrom
0.000 3.426 3.426
3.426 0.000 3.426
3.426 3.426 0.000
ATOMIC_POSITIONS crystal
Si 0.000 0.000 0.000
Si 0.250 0.250 0.250
Hg 0.750 0.750 0.750
Sb 0.500 0.500 0.500
```

Material: Si2HgSb
Method: DFT, PBEsol
State: relaxed Values from VASP.

Results
For the relative energy among the computed polymorphs, the calculation gives 0.0 meV per atom. Its raw formation energy is 33 kJ per mole of atoms.

The structure in Quantum ESPRESSO input format:
```
&SYSTEM
  ibrav = 0, nat = 4, ntyp = 3
/
ATOMIC_SPECIES
Si 28.09 Si.upf
Hg 200.59 Hg.upf
Sb 121.76 Sb.upf
CELL_PARAMETERS angstrom
-1.779 1.969 6.041
1.779 -1.969 6.041
1.779 1.969 -6.041
ATOMIC_POSITIONS crystal
Si 0.000 0.000 0.000
Si 0.862 0.362 0.500
Hg 0.579 0.579 0.000
Sb 0.275 0.775 0.500
```

Material: SnHgSbTe2
Method: DFT, PBEsol
State: relaxed Values from VASP.

Results
Its raw formation energy is 54 kJ per mole of atoms.

The structure in Quantum ESPRESSO input format:
```
&SYSTEM
  ibrav = 0, nat = 5, ntyp = 4
/
ATOMIC_SPECIES
Sn 118.71 Sn.upf
Hg 200.59 Hg.upf
Sb 121.76 Sb.upf
Te 127.60 Te.upf
CELL_PARAMETERS angstrom
5.531 0.000 0.000
0.000 5.531 0.000
0.000 0.000 5.390
ATOMIC_POSITIONS crystal
Sn 0.000 0.000 0.000
Hg 0.500 0.500 0.500
Sb 0.500 0.500 0.000
Te 0.000 0.500 0.500
Te 0.500 0.000 0.500
```

Material: Sr2HgSb2
Method: DFT, PBEsol
State: relaxed Values from VASP.

Results
Its raw formation energy is -52 kJ per mole of atoms.

The structure in Quantum ESPRESSO input format:
```
&SYSTEM
  ibrav = 0, nat = 5, ntyp = 3
/
ATOMIC_SPECIES
Sr 87.62 Sr.upf
Hg 200.59 Hg.upf
Sb 121.76 Sb.upf
CELL_PARAMETERS angstrom
-3.141 3.141 4.718
3.141 -3.141 4.718
3.141 3.141 -4.718
ATOMIC_POSITIONS crystal
Sr 0.250 0.750 0.500
Sr 0.750 0.250 0.500
Hg 0.000 0.000 0.000
Sb 0.346 0.346 0.000
Sb 0.654 0.654 0.000
```

Material: Sr2HgSb2
Method: DFT, PBEsol
State: relaxed Values from VASP.

Results
Its raw formation energy is -70 kJ per mole of atoms.

The structure in Quantum ESPRESSO input format:
```
&SYSTEM
  ibrav = 0, nat = 10, ntyp = 3
/
ATOMIC_SPECIES
Sr 87.62 Sr.upf
Hg 200.59 Hg.upf
Sb 121.76 Sb.upf
CELL_PARAMETERS angstrom
8.267 0.000 0.000
0.000 8.267 0.000
0.000 0.000 4.603
ATOMIC_POSITIONS crystal
Sr 0.179 0.321 0.000
Sr 0.321 0.821 0.000
Sr 0.679 0.179 0.000
Sr 0.821 0.679 0.000
Hg 0.000 0.000 0.500
Hg 0.500 0.500 0.500
Sb 0.122 0.622 0.500
Sb 0.378 0.122 0.500
Sb 0.622 0.878 0.500
Sb 0.878 0.378 0.500
```

Material: SrHg3Sb
Method: DFT, PBEsol
State: relaxed Values from VASP.

Results
Its raw formation energy is 1 kJ per mole of atoms.

The structure in Quantum ESPRESSO input format:
```
&SYSTEM
  ibrav = 0, nat = 5, ntyp = 3
/
ATOMIC_SPECIES
Sr 87.62 Sr.upf
Hg 200.59 Hg.upf
Sb 121.76 Sb.upf
CELL_PARAMETERS angstrom
5.500 0.000 0.000
0.000 5.500 0.000
0.000 0.000 5.500
ATOMIC_POSITIONS crystal
Sr 0.000 0.000 0.000
Hg 0.000 0.500 0.500
Hg 0.500 0.000 0.500
Hg 0.500 0.500 0.000
Sb 0.500 0.500 0.500
```

Copy entry 1 word for word.
Material: Si2HgSb
Method: DFT, PBEsol
State: relaxed Values from VASP.

Results
For the relative energy among the computed polymorphs, the calculation gives 184.4 meV per atom. Its raw formation energy is 51 kJ per mole of atoms.

The structure in Quantum ESPRESSO input format:
```
&SYSTEM
  ibrav = 0, nat = 4, ntyp = 3
/
ATOMIC_SPECIES
Si 28.09 Si.upf
Hg 200.59 Hg.upf
Sb 121.76 Sb.upf
CELL_PARAMETERS angstrom
0.000 3.426 3.426
3.426 0.000 3.426
3.426 3.426 0.000
ATOMIC_POSITIONS crystal
Si 0.000 0.000 0.000
Si 0.250 0.250 0.250
Hg 0.750 0.750 0.750
Sb 0.500 0.500 0.500
```

Please write out number 5 again, unchanged.
Material: Sr2HgSb2
Method: DFT, PBEsol
State: relaxed Values from VASP.

Results
Its raw formation energy is -70 kJ per mole of atoms.

The structure in Quantum ESPRESSO input format:
```
&SYSTEM
  ibrav = 0, nat = 10, ntyp = 3
/
ATOMIC_SPECIES
Sr 87.62 Sr.upf
Hg 200.59 Hg.upf
Sb 121.76 Sb.upf
CELL_PARAMETERS angstrom
8.267 0.000 0.000
0.000 8.267 0.000
0.000 0.000 4.603
ATOMIC_POSITIONS crystal
Sr 0.179 0.321 0.000
Sr 0.321 0.821 0.000
Sr 0.679 0.179 0.000
Sr 0.821 0.679 0.000
Hg 0.000 0.000 0.500
Hg 0.500 0.500 0.500
Sb 0.122 0.622 0.500
Sb 0.378 0.122 0.500
Sb 0.622 0.878 0.500
Sb 0.878 0.378 0.500
```

Which of these has the highest raw formation energy? SnHgSbTe2